[1]
NaGePt3 | GGA-PBE | optimized geometry

```
data_NaGePt3
_chemical_formula_sum 'Na2 Ge2 Pt6'
_symmetry_space_group_name_H-M 'P 6/m m m'
_symmetry_Int_Tables_number 191
_symmetry_space_group_name_Hall '-P 6 2'
_cell_length_a 5.6015
_cell_length_b 5.6015
_cell_length_c 6.5486
_cell_angle_alpha 90.00
_cell_angle_beta 90.00
_cell_angle_gamma 120.00
loop_
_atom_site_label
_atom_site_type_symbol
_atom_site_fract_x
_atom_site_fract_y
_atom_site_fract_z
Na1 Na 0.0000 0.0000 0.0000
Na2 Na 0.0000 0.0000 0.5000
Ge1 Ge 0.3333 0.6667 0.0000
Pt1 Pt 0.0000 0.5000 0.2898
```

Calculated values
Crystal system: hexagonal
Magnetic moment in μB/atom: 0.000
Total energy in eV/atom: -5.21



[2]
Na4GeSbPt2 | GGA-PBE | optimized geometry

```
data_Na4GeSbPt2
_chemical_formula_sum 'Na4 Ge1 Sb1 Pt2'
_symmetry_space_group_name_H-M 'P -4 m 2'
_symmetry_Int_Tables_number 115
_cell_length_a 4.722
_cell_length_b 4.722
_cell_length_c 6.835
_cell_angle_alpha 90.00
_cell_angle_beta 90.00
_cell_angle_gamma 90.00
loop_
_symmetry_equiv_pos_as_xyz
'x,y,z'
'y,-x,-z'
'-x,-y,z'
'-y,x,-z'
'-x,y,z'
'-y,-x,-z'
'x,-y,z'
'y,x,-z'
loop_
_atom_site_label
_atom_site_type_symbol
_atom_site_fract_x
_atom_site_fract_y
_atom_site_fract_z
Na1 Na 0.000 0.000 0.000
Na2 Na 0.000 0.500 0.732
Na3 Na 0.500 0.500 0.500
Ge1 Ge 0.000 0.000 0.500
Sb1 Sb 0.500 0.500 0.000
Pt1 Pt 0.000 0.500 0.262
```

Calculated values
Crystal system: tetragonal
Magnetic moment in μB/atom: 0.001
Total energy in eV/atom: -3.50



[3]
Na4SiGePt2 | GGA-PBE | optimized geometry

```
data_Na4SiGePt2
_chemical_formula_sum 'Na4 Si1 Ge1 Pt2'
_symmetry_space_group_name_H-M 'P -4 m 2'
_symmetry_Int_Tables_number 115
_cell_length_a 4.624
_cell_length_b 4.624
_cell_length_c 6.565
_cell_angle_alpha 90.00
_cell_angle_beta 90.00
_cell_angle_gamma 90.00
loop_
_symmetry_equiv_pos_as_xyz
'x,y,z'
'y,-x,-z'
'-x,-y,z'
'-y,x,-z'
'-x,y,z'
'-y,-x,-z'
'x,-y,z'
'y,x,-z'
loop_
_atom_site_label
_atom_site_type_symbol
_atom_site_fract_x
_atom_site_fract_y
_atom_site_fract_z
Na1 Na 0.000 0.000 0.000
Na2 Na 0.000 0.500 0.749
Na3 Na 0.500 0.500 0.500
Si1 Si 0.000 0.000 0.500
Ge1 Ge 0.500 0.500 0.000
Pt1 Pt 0.000 0.500 0.265
```

Calculated values
Crystal system: tetragonal
Magnetic moment in μB/atom: 0.000
Total energy in eV/atom: -3.55



[4]
Na4SnGePt2 | GGA-PBE | optimized geometry

```
data_Na4SnGePt2
_chemical_formula_sum 'Na4 Sn1 Ge1 Pt2'
_symmetry_space_group_name_H-M 'P -4 m 2'
_symmetry_Int_Tables_number 115
_cell_length_a 4.731
_cell_length_b 4.731
_cell_length_c 6.801
_cell_angle_alpha 90.00
_cell_angle_beta 90.00
_cell_angle_gamma 90.00
loop_
_symmetry_equiv_pos_as_xyz
'x,y,z'
'y,-x,-z'
'-x,-y,z'
'-y,x,-z'
'-x,y,z'
'-y,-x,-z'
'x,-y,z'
'y,x,-z'
loop_
_atom_site_label
_atom_site_type_symbol
_atom_site_fract_x
_atom_site_fract_y
_atom_site_fract_z
Na1 Na 0.000 0.000 0.000
Na2 Na 0.000 0.500 0.733
Na3 Na 0.500 0.500 0.500
Sn1 Sn 0.500 0.500 0.000
Ge1 Ge 0.000 0.000 0.500
Pt1 Pt 0.000 0.500 0.260
```

Calculated values
Crystal system: tetragonal
Magnetic moment in μB/atom: 0.001
Total energy in eV/atom: -3.46



[5]
NaYGePt | GGA-PBE | optimized geometry

```
data_NaYGePt
_chemical_formula_sum 'Na4 Y4 Ge4 Pt4'
_symmetry_space_group_name_H-M 'F -4 3 m'
_symmetry_Int_Tables_number 216
_symmetry_space_group_name_Hall 'F -4 2 3'
_cell_length_a 6.912
_cell_length_b 6.912
_cell_length_c 6.912
_cell_angle_alpha 90.00
_cell_angle_beta 90.00
_cell_angle_gamma 90.00
loop_
_atom_site_label
_atom_site_type_symbol
_atom_site_fract_x
_atom_site_fract_y
_atom_site_fract_z
Na1 Na 0.000 0.000 0.000
Y1 Y 0.000 0.000 0.500
Ge1 Ge 0.250 0.250 0.750
Pt1 Pt 0.250 0.250 0.250
```

Calculated values
Crystal system: cubic
Magnetic moment in μB/atom: 0.000
Total energy in eV/atom: -5.12



[6]
NaYGePt | GGA-PBE | optimized geometry

```
data_NaYGePt
_chemical_formula_sum 'Na4 Y4 Ge4 Pt4'
_symmetry_space_group_name_H-M 'F -4 3 m'
_symmetry_Int_Tables_number 216
_symmetry_space_group_name_Hall 'F -4 2 3'
_cell_length_a 6.731
_cell_length_b 6.731
_cell_length_c 6.731
_cell_angle_alpha 90.00
_cell_angle_beta 90.00
_cell_angle_gamma 90.00
loop_
_atom_site_label
_atom_site_type_symbol
_atom_site_fract_x
_atom_site_fract_y
_atom_site_fract_z
Na1 Na 0.000 0.000 0.000
Y1 Y 0.250 0.250 0.750
Ge1 Ge 0.250 0.250 0.250
Pt1 Pt 0.000 0.000 0.500
```

Calculated values
Crystal system: cubic
Magnetic moment in μB/atom: 0.000
Total energy in eV/atom: -5.22



[7]
Na4ZnGePt2 | GGA-PBE | optimized geometry

```
data_Na4ZnGePt2
_chemical_formula_sum 'Na4 Zn1 Ge1 Pt2'
_symmetry_space_group_name_H-M 'P -4 m 2'
_symmetry_Int_Tables_number 115
_cell_length_a 4.701
_cell_length_b 4.701
_cell_length_c 6.559
_cell_angle_alpha 90.00
_cell_angle_beta 90.00
_cell_angle_gamma 90.00
loop_
_symmetry_equiv_pos_as_xyz
'x,y,z'
'y,-x,-z'
'-x,-y,z'
'-y,x,-z'
'-x,y,z'
'-y,-x,-z'
'x,-y,z'
'y,x,-z'
loop_
_atom_site_label
_atom_site_type_symbol
_atom_site_fract_x
_atom_site_fract_y
_atom_site_fract_z
Na1 Na 0.000 0.000 0.000
Na2 Na 0.000 0.500 0.743
Na3 Na 0.500 0.500 0.500
Zn1 Zn 0.000 0.000 0.500
Ge1 Ge 0.500 0.500 0.000
Pt1 Pt 0.000 0.500 0.234
```

Calculated values
Crystal system: tetragonal
Magnetic moment in μB/atom: 0.001
Total energy in eV/atom: -3.07



[8]
NaPuGe | GGA-PBE | optimized geometry

```
data_NaPuGe
_chemical_formula_sum 'Na4 Pu4 Ge4'
_symmetry_space_group_name_H-M 'F -4 3 m'
_symmetry_Int_Tables_number 216
_symmetry_space_group_name_Hall 'F -4 2 3'
_cell_length_a 6.966
_cell_length_b 6.966
_cell_length_c 6.966
_cell_angle_alpha 90.00
_cell_angle_beta 90.00
_cell_angle_gamma 90.00
loop_
_atom_site_label
_atom_site_type_symbol
_atom_site_fract_x
_atom_site_fract_y
_atom_site_fract_z
Na1 Na 0.000 0.000 0.000
Pu1 Pu 0.250 0.250 0.750
Ge1 Ge 0.000 0.000 0.500
```

Calculated values
Crystal system: cubic
Magnetic moment in μB/atom: 1.722
Total energy in eV/atom: -6.32



[9]
NaReGe | GGA-PBE | optimized geometry

```
data_NaReGe
_chemical_formula_sum 'Na4 Re4 Ge4'
_symmetry_space_group_name_H-M 'F -4 3 m'
_symmetry_Int_Tables_number 216
_symmetry_space_group_name_Hall 'F -4 2 3'
_cell_length_a 6.084
_cell_length_b 6.084
_cell_length_c 6.084
_cell_angle_alpha 90.00
_cell_angle_beta 90.00
_cell_angle_gamma 90.00
loop_
_atom_site_label
_atom_site_type_symbol
_atom_site_fract_x
_atom_site_fract_y
_atom_site_fract_z
Na1 Na 0.000 0.000 0.000
Re1 Re 0.000 0.000 0.500
Ge1 Ge 0.250 0.250 0.250
```

Calculated values
Crystal system: cubic
Magnetic moment in μB/atom: 0.427
Total energy in eV/atom: -5.16



[10]
NaReGeTe | GGA-PBE | optimized geometry

```
data_NaReGeTe
_chemical_formula_sum 'Na4 Re4 Ge4 Te4'
_symmetry_space_group_name_H-M 'F -4 3 m'
_symmetry_Int_Tables_number 216
_symmetry_space_group_name_Hall 'F -4 2 3'
_cell_length_a 6.617
_cell_length_b 6.617
_cell_length_c 6.617
_cell_angle_alpha 90.00
_cell_angle_beta 90.00
_cell_angle_gamma 90.00
loop_
_atom_site_label
_atom_site_type_symbol
_atom_site_fract_x
_atom_site_fract_y
_atom_site_fract_z
Na1 Na 0.000 0.000 0.000
Re1 Re 0.000 0.000 0.500
Ge1 Ge 0.250 0.250 0.250
Te1 Te 0.250 0.250 0.750
```

Calculated values
Crystal system: cubic
Magnetic moment in μB/atom: 0.000
Total energy in eV/atom: -4.96



[11]
NaReGeTe | GGA-PBE | optimized geometry

```
data_NaReGeTe
_chemical_formula_sum 'Na4 Re4 Ge4 Te4'
_symmetry_space_group_name_H-M 'F -4 3 m'
_symmetry_Int_Tables_number 216
_symmetry_space_group_name_Hall 'F -4 2 3'
_cell_length_a 6.785
_cell_length_b 6.785
_cell_length_c 6.785
_cell_angle_alpha 90.00
_cell_angle_beta 90.00
_cell_angle_gamma 90.00
loop_
_atom_site_label
_atom_site_type_symbol
_atom_site_fract_x
_atom_site_fract_y
_atom_site_fract_z
Na1 Na 0.000 0.000 0.000
Re1 Re 0.250 0.250 0.250
Ge1 Ge 0.250 0.250 0.750
Te1 Te 0.000 0.000 0.500
```

Calculated values
Crystal system: cubic
Magnetic moment in μB/atom: 0.391
Total energy in eV/atom: -4.44



[12]
NaReGeW | GGA-PBE | optimized geometry

```
data_NaReGeW
_chemical_formula_sum 'Na4 Re4 Ge4 W4'
_symmetry_space_group_name_H-M 'F -4 3 m'
_symmetry_Int_Tables_number 216
_symmetry_space_group_name_Hall 'F -4 2 3'
_cell_length_a 6.305
_cell_length_b 6.305
_cell_length_c 6.305
_cell_angle_alpha 90.00
_cell_angle_beta 90.00
_cell_angle_gamma 90.00
loop_
_atom_site_label
_atom_site_type_symbol
_atom_site_fract_x
_atom_site_fract_y
_atom_site_fract_z
Na1 Na 0.000 0.000 0.000
Re1 Re 0.250 0.250 0.250
Ge1 Ge 0.250 0.250 0.750
W1 W 0.000 0.000 0.500
```

Calculated values
Crystal system: cubic
Magnetic moment in μB/atom: 0.001
Total energy in eV/atom: -7.24